# 1
An optimized crystal structure of BeSe5. Source: Alexandria via LeMat-Bulk, functional GGA-PBEsol.

The structure in extended XYZ format:
```
6
Lattice="6.267 0.000 0.000 -3.134 5.428 0.000 0.000 0.000 3.394" Properties=species:S:1:pos:R:3 pbc="T T T"
Be 0.000 0.000 0.000
Se -0.850 1.472 1.697
Se 1.700 0.000 1.697
Se 0.000 3.618 0.000
Se 3.134 1.809 0.000
Se 2.284 3.955 1.697
```

Values from the calculation:
Uncorrected formation energy in kJ/mol of atoms: 23
D(E_F) in states/eV per cell: 4.056
Total energy in eV/f.u.: -21.85
Space group: P-62m, No. 189



# 2
An optimized crystal structure of AlInTe2. Source: Alexandria via LeMat-Bulk, functional GGA-PBEsol.

The structure in extended XYZ format:
```
8
Lattice="-3.874 3.874 4.201 3.874 -3.874 4.201 3.874 3.874 -4.201" Properties=species:S:1:pos:R:3 pbc="T T T"
Al 0.000 0.000 0.000
Al 0.000 3.874 2.101
In 3.874 0.000 2.101
In 0.000 0.000 4.201
Te 1.937 1.425 -1.050
Te 2.449 -1.937 5.252
Te 1.937 2.449 3.151
Te 1.425 5.811 1.050
```

Values from the calculation:
Uncorrected formation energy in kJ/mol of atoms: -23
Total energy in eV/f.u.: -15.09
Space group: I-42d, No. 122



# 3
An optimized crystal structure of K2ZrGeBr. Source: Alexandria via LeMat-Bulk, functional GGA-PBEsol.

The structure in extended XYZ format:
```
5
Lattice="6.348 0.000 0.000 0.000 6.348 0.000 0.000 0.000 5.090" Properties=species:S:1:pos:R:3 pbc="T T T"
K 0.000 3.174 0.000
K 3.174 0.000 0.000
Zr 0.000 0.000 2.545
Ge 0.000 0.000 0.000
Br 3.174 3.174 2.545
```

Values from the calculation:
Uncorrected formation energy in kJ/mol of atoms: 9
D(E_F) in states/eV per cell: 4.427
Total energy in eV/f.u.: -17.69
Space group: P4/mmm, No. 123